No. 1
# V2PdN, relaxed, DFT PBE-GGA
# * density of states at the Fermi level: 0.835 states/eV per atom
# * E: -8.232 eV/atom
data_V2PdN
_symmetry_space_group_name_H-M 'I -4 2 d'
_symmetry_Int_Tables_number 122
_symmetry_space_group_name_Hall 'I -4 2bw'
_cell_length_a 5.9229
_cell_length_b 5.9229
_cell_length_c 5.8810
_cell_angle_alpha 90.00
_cell_angle_beta 90.00
_cell_angle_gamma 90.00
loop_
_atom_site_label
_atom_site_fract_x
_atom_site_fract_y
_atom_site_fract_z
V1 0.1587 0.2500 0.1250
Pd1 0.0000 0.0000 0.5000
N1 0.0000 0.0000 0.0000


No. 2
# V3Pd2N, relaxed, DFT PBE-GGA
# * density of states at the Fermi level: 0.969 states/eV per atom
# * E: -8.152 eV/atom
data_V3Pd2N
_symmetry_space_group_name_H-M 'P 41 3 2'
_symmetry_Int_Tables_number 213
_symmetry_space_group_name_Hall 'P 4bd 2ab 3'
_cell_length_a 6.6928
_cell_length_b 6.6928
_cell_length_c 6.6928
_cell_angle_alpha 90.00
_cell_angle_beta 90.00
_cell_angle_gamma 90.00
loop_
_atom_site_label
_atom_site_fract_x
_atom_site_fract_y
_atom_site_fract_z
V1 0.0409 0.1250 0.7909
Pd1 0.0615 0.9385 0.4385
N1 0.1250 0.3750 0.6250


No. 3
# VPdN3, relaxed, DFT PBE-GGA
# * density of states at the Fermi level: 0.854 states/eV per atom
# * E: -6.089 eV/atom
data_VPdN3
_symmetry_space_group_name_H-M 'P m -3 m'
_symmetry_Int_Tables_number 221
_symmetry_space_group_name_Hall '-P 4 2 3'
_cell_length_a 3.9009
_cell_length_b 3.9009
_cell_length_c 3.9009
_cell_angle_alpha 90.00
_cell_angle_beta 90.00
_cell_angle_gamma 90.00
loop_
_atom_site_label
_atom_site_fract_x
_atom_site_fract_y
_atom_site_fract_z
V1 0.0000 0.0000 0.0000
Pd1 0.5000 0.5000 0.5000
N1 0.0000 0.5000 0.5000